The following is a DFT calculation (PBE) of an optimized crystal structure of Ac2PuF.

```
Ac2PuF
1.0
3.8402 0.0000 0.0000
1.9201 3.3257 0.0000
1.9201 1.1086 10.3361
Pu F Ac
1 1 2
Direct
0.0000 0.0000 0.0000
0.5000 0.5000 0.5000
0.1123 0.1123 0.6630
0.8877 0.8877 0.3370
```

Calculated values
**Space-group type**: R-3m, No. 166
**ΔE_f (raw)**: -0.725 eV per atom

The following is a DFT calculation (PBE) of an optimized crystal structure of AcPuF5.

```
AcPuF5
1.0
6.1410 0.3290 2.0854
0.9644 6.0737 2.0854
0.1558 0.1404 8.5420
F Pu Ac
10 2 2
Direct
0.6729 0.3223 0.4817
0.2580 0.2346 0.8785
0.3223 0.6729 0.9817
0.7654 0.7420 0.6215
0.1548 0.8452 0.2500
0.2346 0.2580 0.3785
0.6777 0.3271 0.0183
0.3271 0.6777 0.5183
0.8452 0.1548 0.7500
0.7420 0.7654 0.1215
0.0000 0.0000 0.5000
0.0000 0.0000 0.0000
0.4778 0.5222 0.2500
0.5222 0.4778 0.7500
```

Calculated values
**Space-group type**: C2/c, No. 15
**ΔE_f (raw)**: -3.658 eV per atom

The following is a DFT calculation (PBE) of an optimized crystal structure of Rb3AcF7.

```
Rb3AcF7
1.0
5.7908 0.0477 2.9334
-1.2849 5.6466 2.9334
-0.3392 -0.4286 7.5956
Rb F Ac
3 7 1
Direct
0.7711 0.2367 0.4921
0.2367 0.7711 0.4921
0.4992 0.4992 0.0154
0.1431 0.1431 0.1563
0.0945 0.6445 0.2393
0.3300 0.9481 0.7673
0.6381 0.6381 0.2653
0.9481 0.3300 0.7673
0.6445 0.0945 0.2393
0.8610 0.8610 0.7900
0.9588 0.9588 0.0255
```

Calculated values
**Space-group type**: Cm, No. 8
**ΔE_f (raw)**: -3.000 eV per atom

The following is a DFT calculation (PBE) of an optimized crystal structure of Rb3AcF8.

```
Rb3AcF8
1.0
5.8953 0.0000 -2.6373
-1.1798 5.7761 -2.6373
0.0100 0.0123 7.9302
F Rb Ac
8 3 1
Direct
0.6647 0.1103 0.7750
0.8897 0.8897 0.2250
0.3353 0.8897 0.2250
0.6647 0.6647 0.7750
0.8897 0.3353 0.2250
0.1103 0.6647 0.7750
0.1103 0.1103 0.7750
0.3353 0.3353 0.2250
0.5000 0.5000 0.0000
0.2500 0.7500 0.5000
0.7500 0.2500 0.5000
0.0000 0.0000 0.0000
```

Calculated values
**Space-group type**: I4/mmm, No. 139
**ΔE_f (raw)**: -2.745 eV per atom

The following is a DFT calculation (PBE) of an optimized crystal structure of RbAcF2.

```
RbAcF2
1.0
-0.9343 -1.3796 -3.9997
-0.8874 -4.1834 -0.6966
-8.0119 -0.4935 -0.3052
F Rb Ac
2 1 1
Direct
0.1026 0.1026 0.6921
0.8974 0.8974 0.3079
0.5000 0.5000 0.5000
0.0000 0.0000 0.0000
```

Calculated values
**Space-group type**: R-3m, No. 166
**ΔE_f (raw)**: -2.650 eV per atom
**ΔE to the lowest computed polymorph**: 0 meV/atom

The following is a DFT calculation (PBE) of an optimized crystal structure of RbAc3F10.

```
RbAc3F10
1.0
7.8633 0.0000 4.5399
2.6211 7.4136 4.5399
0.0000 0.0000 9.0797
F Ac Rb
20 6 2
Direct
0.8335 0.3888 0.3888
0.1665 0.6112 0.6112
0.0000 0.6704 0.0000
0.0000 0.3296 0.6704
0.0000 0.0000 0.3296
0.3888 0.3888 0.3888
0.6112 0.6112 0.6112
0.6112 0.6112 0.1665
0.0000 0.3296 0.0000
0.6704 0.3296 0.0000
0.6704 0.0000 0.0000
0.6704 0.0000 0.3296
0.3888 0.8335 0.3888
0.3296 0.0000 0.6704
0.0000 0.0000 0.6704
0.0000 0.6704 0.3296
0.3888 0.3888 0.8335
0.3296 0.0000 0.0000
0.6112 0.1665 0.6112
0.3296 0.6704 0.0000
0.7406 0.2594 0.2594
0.7406 0.2594 0.7406
0.2594 0.2594 0.7406
0.2594 0.7406 0.7406
0.2594 0.7406 0.2594
0.7406 0.7406 0.2594
0.2500 0.2500 0.2500
0.7500 0.7500 0.7500
```

Calculated values
**Space-group type**: Fm-3m, No. 225
**ΔE_f (raw)**: -4.003 eV per atom

| no. | spin magnetization (Bohr magnetons per cell) | calculated total energy (eV per cell) |
| --- | --- | --- |
| 1 | 6.55 | -27.3 |
| 2 | 11.93 | -106.8 |
| 3 | 1.18 | -53.1 |
| 4 | 2.07 | -54.9 |
| 5 | 0.00 | -19.4 |
| 6 | 0.00 | -176.1 |